No. 1
Material: Dy2BiSe
Method: DFT, PBE-GGA
State: relaxed

a = 4.258 Å, b = 6.087 Å, c = 8.582 Å
α = 90.00°, β = 90.00°, γ = 90.00°
Positions (direct):
1 Dy 0.250 0.250 0.112
2 Dy 0.250 0.250 0.646
3 Dy 0.750 0.750 0.354
4 Dy 0.750 0.750 0.888
5 Bi 0.250 0.750 0.623
6 Bi 0.750 0.250 0.377
7 Se 0.250 0.750 0.120
8 Se 0.750 0.250 0.880

Results
Uncorrected formation energy, meV/atom: -1275
Calculated volume, A^3/atom: 27.8
D(E_F), states/eV per atom: 0.396
Polymorph energy (0 for the lowest one), eV/atom: 0.005
Crystal system: orthorhombic
Calculated total energy, eV/atom: -5.417

No. 2
Material: DyBiSe3
Method: DFT, PBE-GGA
State: relaxed

a = 10.883 Å, b = 10.883 Å, c = 7.246 Å
α = 90.00°, β = 90.00°, γ = 158.03°
Positions (direct):
1 Dy 0.167 0.833 0.500
2 Dy 0.833 0.167 0.000
3 Bi 0.349 0.651 0.501
4 Bi 0.651 0.349 0.001
5 Se 0.086 0.914 0.820
6 Se 0.251 0.749 0.172
7 Se 0.406 0.594 0.848
8 Se 0.594 0.406 0.348
9 Se 0.749 0.251 0.672
10 Se 0.914 0.086 0.320

Results
Uncorrected formation energy, meV/atom: -1097
Calculated volume, A^3/atom: 32.1
Polymorph energy (0 for the lowest one), eV/atom: 0.021
Crystal system: orthorhombic
Calculated total energy, eV/atom: -4.884

No. 3
Material: Dy5BiSe5
Method: DFT, PBE-GGA
State: relaxed

a = 7.149 Å, b = 7.149 Å, c = 8.304 Å
α = 106.60°, β = 106.60°, γ = 48.73°
Positions (direct):
1 Dy 0.000 0.000 0.000
2 Dy 0.330 0.330 0.652
3 Dy 0.332 0.332 0.181
4 Dy 0.668 0.668 0.819
5 Dy 0.670 0.670 0.348
6 Bi 0.500 0.500 0.000
7 Se 0.162 0.162 0.334
8 Se 0.171 0.171 0.838
9 Se 0.500 0.500 0.500
10 Se 0.829 0.829 0.162
11 Se 0.838 0.838 0.666

Results
Uncorrected formation energy, meV/atom: -1634
Calculated volume, A^3/atom: 27.5
D(E_F), states/eV per atom: 0.329
Crystal system: monoclinic
Calculated total energy, eV/atom: -5.662

No. 4
Material: DyBiSe3
Method: DFT, PBE-GGA
State: relaxed

a = 7.210 Å, b = 4.156 Å, c = 10.747 Å
α = 90.00°, β = 102.32°, γ = 90.00°
Positions (direct):
1 Dy 0.234 0.250 0.479
2 Dy 0.766 0.750 0.521
3 Bi 0.361 0.250 0.849
4 Bi 0.639 0.750 0.151
5 Se 0.017 0.750 0.342
6 Se 0.252 0.750 0.999
7 Se 0.449 0.750 0.643
8 Se 0.551 0.250 0.357
9 Se 0.748 0.250 0.001
10 Se 0.983 0.250 0.658

Results
Uncorrected formation energy, meV/atom: -1118
Calculated volume, A^3/atom: 31.5
Polymorph energy (0 for the lowest one), eV/atom: 0.000
Crystal system: monoclinic
Calculated total energy, eV/atom: -4.905

No. 5
Material: Dy3BiSe2
Method: DFT, PBE-GGA
State: relaxed

a = 8.014 Å, b = 8.014 Å, c = 8.014 Å
α = 124.51°, β = 94.15°, γ = 111.16°
Positions (direct):
1 Dy 0.000 0.224 0.224
2 Dy 0.000 0.776 0.776
3 Dy 0.500 0.000 0.000
4 Dy 0.500 0.224 0.724
5 Dy 0.500 0.500 0.500
6 Dy 0.500 0.776 0.276
7 Bi 0.188 0.938 0.250
8 Bi 0.812 0.062 0.750
9 Se 0.258 0.709 0.550
10 Se 0.341 0.291 0.050
11 Se 0.659 0.709 0.950
12 Se 0.742 0.291 0.450

Results
Uncorrected formation energy, meV/atom: -1122
Calculated volume, A^3/atom: 30.7
D(E_F), states/eV per atom: 0.688
Crystal system: orthorhombic
Calculated total energy, eV/atom: -5.231

No. 6
Material: Dy4BiSe2
Method: DFT, PBE-GGA
State: relaxed

a = 6.962 Å, b = 6.962 Å, c = 13.843 Å
α = 90.00°, β = 90.00°, γ = 145.33°
Positions (direct):
1 Dy 0.000 0.000 0.000
2 Dy 0.000 0.000 0.500
3 Dy 0.269 0.731 0.621
4 Dy 0.269 0.731 0.879
5 Dy 0.428 0.572 0.250
6 Dy 0.572 0.428 0.750
7 Dy 0.731 0.269 0.121
8 Dy 0.731 0.269 0.379
9 Bi 0.104 0.896 0.250
10 Bi 0.896 0.104 0.750
11 Se 0.365 0.635 0.059
12 Se 0.365 0.635 0.441
13 Se 0.635 0.365 0.559
14 Se 0.635 0.365 0.941

Results
Uncorrected formation energy, meV/atom: -1238
Calculated volume, A^3/atom: 27.3
D(E_F), states/eV per atom: 0.587
Crystal system: orthorhombic
Calculated total energy, eV/atom: -5.417

No. 7
Material: Dy3Bi5Se12
Method: DFT, PBE-GGA
State: relaxed

a = 14.835 Å, b = 14.835 Å, c = 14.835 Å
α = 109.47°, β = 109.47°, γ = 109.47°
Positions (direct):
1 Dy 0.125 0.250 0.375
2 Dy 0.125 0.375 0.750
3 Dy 0.250 0.375 0.125
4 Dy 0.250 0.875 0.625
5 Dy 0.375 0.125 0.250
6 Dy 0.375 0.750 0.125
7 Dy 0.625 0.250 0.875
8 Dy 0.625 0.875 0.750
9 Dy 0.750 0.125 0.375
10 Dy 0.750 0.625 0.875
11 Dy 0.875 0.625 0.250
12 Dy 0.875 0.750 0.625
13 Bi 0.000 0.000 0.000
14 Bi 0.000 0.000 0.500
15 Bi 0.000 0.500 0.000
16 Bi 0.000 0.500 0.500
17 Bi 0.125 0.750 0.875
18 Bi 0.125 0.875 0.250
19 Bi 0.250 0.125 0.875
20 Bi 0.250 0.625 0.375
21 Bi 0.375 0.250 0.625
22 Bi 0.375 0.625 0.750
23 Bi 0.500 0.000 0.000
24 Bi 0.500 0.000 0.500
25 Bi 0.500 0.500 0.000
26 Bi 0.500 0.500 0.500
27 Bi 0.625 0.375 0.250
28 Bi 0.625 0.750 0.375
29 Bi 0.750 0.375 0.625
30 Bi 0.750 0.875 0.125
31 Bi 0.875 0.125 0.750
32 Bi 0.875 0.250 0.125
33 Se 0.058 0.226 0.141
34 Se 0.058 0.332 0.917
35 Se 0.083 0.641 0.415
36 Se 0.083 0.942 0.668
37 Se 0.085 0.726 0.668
38 Se 0.085 0.859 0.417
39 Se 0.141 0.058 0.226
40 Se 0.141 0.583 0.915
41 Se 0.168 0.226 0.585
42 Se 0.168 0.442 0.583
43 Se 0.226 0.141 0.058
44 Se 0.226 0.585 0.168
45 Se 0.274 0.332 0.915
46 Se 0.274 0.442 0.359
47 Se 0.332 0.915 0.274
48 Se 0.332 0.917 0.058
49 Se 0.359 0.274 0.442
50 Se 0.359 0.585 0.917
51 Se 0.415 0.083 0.641
52 Se 0.415 0.832 0.774
53 Se 0.417 0.085 0.859
54 Se 0.417 0.832 0.558
55 Se 0.442 0.359 0.274
56 Se 0.442 0.583 0.168
57 Se 0.558 0.417 0.832
58 Se 0.558 0.641 0.726
59 Se 0.583 0.168 0.442
60 Se 0.583 0.915 0.141
61 Se 0.585 0.168 0.226
62 Se 0.585 0.917 0.359
63 Se 0.641 0.415 0.083
64 Se 0.641 0.726 0.558
65 Se 0.668 0.083 0.942
66 Se 0.668 0.085 0.726
67 Se 0.726 0.558 0.641
68 Se 0.726 0.668 0.085
69 Se 0.774 0.415 0.832
70 Se 0.774 0.859 0.942
71 Se 0.832 0.558 0.417
72 Se 0.832 0.774 0.415
73 Se 0.859 0.417 0.085
74 Se 0.859 0.942 0.774
75 Se 0.915 0.141 0.583
76 Se 0.915 0.274 0.332
77 Se 0.917 0.058 0.332
78 Se 0.917 0.359 0.585
79 Se 0.942 0.668 0.083
80 Se 0.942 0.774 0.859

Results
Uncorrected formation energy, meV/atom: -747
Calculated volume, A^3/atom: 31.4
Crystal system: cubic
Calculated total energy, eV/atom: -4.499

No. 8
Material: Dy2BiSe
Method: DFT, PBE-GGA
State: relaxed

a = 4.206 Å, b = 4.206 Å, c = 21.912 Å
α = 90.00°, β = 90.00°, γ = 120.00°
Positions (direct):
1 Dy 0.000 0.000 0.000
2 Dy 0.000 0.000 0.183
3 Dy 0.333 0.667 0.667
4 Dy 0.333 0.667 0.850
5 Dy 0.667 0.333 0.333
6 Dy 0.667 0.333 0.517
7 Bi 0.000 0.000 0.425
8 Bi 0.333 0.667 0.091
9 Bi 0.667 0.333 0.758
10 Se 0.000 0.000 0.595
11 Se 0.333 0.667 0.262
12 Se 0.667 0.333 0.928

Results
Uncorrected formation energy, meV/atom: -1231
Calculated volume, A^3/atom: 28.0
D(E_F), states/eV per atom: 0.663
Polymorph energy (0 for the lowest one), eV/atom: 0.049
Crystal system: trigonal
Calculated total energy, eV/atom: -5.374

No. 9
Material: Dy4Bi3Se
Method: DFT, PBE-GGA
State: relaxed

a = 7.586 Å, b = 8.795 Å, c = 7.584 Å
α = 90.00°, β = 109.53°, γ = 90.00°
Positions (direct):
1 Dy 0.240 0.120 0.001
2 Dy 0.240 0.880 0.501
3 Dy 0.246 0.369 0.493
4 Dy 0.246 0.631 0.993
5 Dy 0.754 0.369 0.007
6 Dy 0.754 0.631 0.507
7 Dy 0.760 0.120 0.499
8 Dy 0.760 0.880 0.999
9 Bi 0.000 0.374 0.750
10 Bi 0.000 0.626 0.250
11 Bi 0.500 0.124 0.750
12 Bi 0.500 0.375 0.250
13 Bi 0.500 0.625 0.750
14 Bi 0.500 0.876 0.250
15 Se 0.000 0.122 0.250
16 Se 0.000 0.878 0.750

Results
Uncorrected formation energy, meV/atom: -1067
Calculated volume, A^3/atom: 29.8
D(E_F), states/eV per atom: 0.117
Crystal system: monoclinic
Calculated total energy, eV/atom: -5.259

No. 10
Material: Dy4SnBi2Se
Method: DFT, PBE-GGA
State: relaxed

a = 7.561 Å, b = 4.353 Å, c = 7.584 Å
α = 90.00°, β = 109.31°, γ = 90.00°
Positions (direct):
1 Dy 0.246 0.000 0.238
2 Dy 0.251 0.500 0.761
3 Dy 0.749 0.500 0.239
4 Dy 0.754 0.000 0.762
5 Sn 0.500 0.000 0.000
6 Bi 0.000 0.000 0.500
7 Bi 0.500 0.500 0.500
8 Se 0.000 0.500 0.000

Results
Uncorrected formation energy, meV/atom: -1028
Calculated volume, A^3/atom: 29.5
D(E_F), states/eV per atom: 0.193
Crystal system: monoclinic
Calculated total energy, eV/atom: -5.235

No. 11
Material: TbDyBiSe
Method: DFT, PBE-GGA
State: relaxed

a = 4.218 Å, b = 4.218 Å, c = 21.936 Å
α = 90.00°, β = 90.00°, γ = 120.00°
Positions (direct):
1 Tb 0.000 0.000 0.000
2 Tb 0.333 0.667 0.667
3 Tb 0.667 0.333 0.333
4 Dy 0.000 0.000 0.817
5 Dy 0.333 0.667 0.483
6 Dy 0.667 0.333 0.150
7 Bi 0.000 0.000 0.241
8 Bi 0.333 0.667 0.908
9 Bi 0.667 0.333 0.575
10 Se 0.000 0.000 0.412
11 Se 0.333 0.667 0.079
12 Se 0.667 0.333 0.745

Results
Uncorrected formation energy, meV/atom: -1244
Calculated volume, A^3/atom: 28.2
D(E_F), states/eV per atom: 0.661
Crystal system: trigonal
Calculated total energy, eV/atom: -5.393

No. 12
Material: Dy8BiTe4Se3
Method: DFT, PBE-GGA
State: relaxed

a = 8.513 Å, b = 8.513 Å, c = 8.580 Å
α = 119.72°, β = 119.72°, γ = 60.02°
Positions (direct):
1 Dy 0.224 0.751 0.725
2 Dy 0.238 0.238 0.715
3 Dy 0.249 0.249 0.276
4 Dy 0.249 0.776 0.275
5 Dy 0.751 0.224 0.725
6 Dy 0.751 0.751 0.724
7 Dy 0.762 0.762 0.285
8 Dy 0.776 0.249 0.275
9 Bi 0.500 0.500 0.500
10 Te 0.000 0.000 0.000
11 Te 0.000 0.500 0.000
12 Te 0.500 0.000 0.000
13 Te 0.500 0.500 0.000
14 Se 0.000 0.000 0.500
15 Se 0.000 0.500 0.500
16 Se 0.500 0.000 0.500

Results
Uncorrected formation energy, meV/atom: -1408
Calculated volume, A^3/atom: 27.6
D(E_F), states/eV per atom: 0.315
Crystal system: monoclinic
Calculated total energy, eV/atom: -5.390

No. 13
Material: Dy6Bi3TeSe2
Method: DFT, PBE-GGA
State: relaxed

a = 7.496 Å, b = 7.496 Å, c = 7.478 Å
α = 99.66°, β = 99.66°, γ = 119.83°
Positions (direct):
1 Dy 0.073 0.420 0.762
2 Dy 0.228 0.228 0.229
3 Dy 0.420 0.073 0.762
4 Dy 0.580 0.927 0.238
5 Dy 0.772 0.772 0.771
6 Dy 0.927 0.580 0.238
7 Bi 0.000 0.000 0.500
8 Bi 0.340 0.660 0.500
9 Bi 0.660 0.340 0.500
10 Te 0.500 0.500 0.000
11 Se 0.168 0.832 0.000
12 Se 0.832 0.168 0.000

Results
Uncorrected formation energy, meV/atom: -1211
Calculated volume, A^3/atom: 28.6
D(E_F), states/eV per atom: 0.430
Crystal system: monoclinic
Calculated total energy, eV/atom: -5.325

No. 14
Material: Dy6BiTe2Se3
Method: DFT, PBE-GGA
State: relaxed

a = 9.506 Å, b = 9.506 Å, c = 8.535 Å
α = 103.80°, β = 103.80°, γ = 25.59°
Positions (direct):
1 Dy 0.007 0.007 0.235
2 Dy 0.327 0.327 0.439
3 Dy 0.341 0.341 0.899
4 Dy 0.659 0.659 0.101
5 Dy 0.673 0.673 0.561
6 Dy 0.993 0.993 0.765
7 Bi 0.500 0.500 0.500
8 Te 0.168 0.168 0.833
9 Te 0.832 0.832 0.167
10 Se 0.167 0.167 0.331
11 Se 0.500 0.500 0.000
12 Se 0.833 0.833 0.669

Results
Uncorrected formation energy, meV/atom: -1454
Calculated volume, A^3/atom: 26.9
D(E_F), states/eV per atom: 0.357
Crystal system: monoclinic
Calculated total energy, eV/atom: -5.473

No. 15
Material: Dy6Bi2TeSe3
Method: DFT, PBE-GGA
State: relaxed

a = 9.549 Å, b = 9.549 Å, c = 8.549 Å
α = 103.70°, β = 103.70°, γ = 25.64°
Positions (direct):
1 Dy 0.006 0.006 0.231
2 Dy 0.326 0.326 0.428
3 Dy 0.339 0.339 0.903
4 Dy 0.661 0.661 0.097
5 Dy 0.674 0.674 0.572
6 Dy 0.994 0.994 0.769
7 Bi 0.166 0.166 0.833
8 Bi 0.834 0.834 0.167
9 Te 0.500 0.500 0.500
10 Se 0.166 0.166 0.335
11 Se 0.500 0.500 0.000
12 Se 0.834 0.834 0.665

Results
Uncorrected formation energy, meV/atom: -1368
Calculated volume, A^3/atom: 27.3
D(E_F), states/eV per atom: 0.426
Crystal system: monoclinic
Calculated total energy, eV/atom: -5.449

No. 16
Material: DyThBiSe
Method: DFT, PBE-GGA
State: relaxed

a = 4.158 Å, b = 4.158 Å, c = 23.488 Å
α = 90.00°, β = 90.00°, γ = 120.00°
Positions (direct):
1 Dy 0.000 0.000 0.000
2 Dy 0.333 0.667 0.667
3 Dy 0.667 0.333 0.333
4 Th 0.000 0.000 0.840
5 Th 0.333 0.667 0.506
6 Th 0.667 0.333 0.173
7 Bi 0.000 0.000 0.415
8 Bi 0.333 0.667 0.082
9 Bi 0.667 0.333 0.749
10 Se 0.000 0.000 0.591
11 Se 0.333 0.667 0.258
12 Se 0.667 0.333 0.924

Results
Uncorrected formation energy, meV/atom: -1074
Calculated volume, A^3/atom: 29.3
D(E_F), states/eV per atom: 0.447
Crystal system: trigonal
Calculated total energy, eV/atom: -5.921

No. 17
Material: DyTl2BiSe4
Method: DFT, PBE-GGA
State: relaxed

a = 7.386 Å, b = 4.244 Å, c = 8.089 Å
α = 90.00°, β = 107.60°, γ = 90.00°
Positions (direct):
1 Dy 0.000 0.000 0.000
2 Tl 0.000 0.500 0.500
3 Tl 0.500 0.000 0.500
4 Bi 0.500 0.500 0.000
5 Se 0.228 0.500 0.206
6 Se 0.255 0.000 0.789
7 Se 0.745 0.000 0.211
8 Se 0.772 0.500 0.794

Results
Uncorrected formation energy, meV/atom: -918
Calculated volume, A^3/atom: 30.2
Crystal system: monoclinic
Calculated total energy, eV/atom: -4.312

No. 18
Material: Dy4TlBi2Se
Method: DFT, PBE-GGA
State: relaxed

a = 7.413 Å, b = 4.330 Å, c = 7.754 Å
α = 90.00°, β = 108.97°, γ = 90.00°
Positions (direct):
1 Dy 0.238 0.000 0.241
2 Dy 0.241 0.500 0.757
3 Dy 0.759 0.500 0.243
4 Dy 0.762 0.000 0.759
5 Tl 0.000 0.000 0.500
6 Bi 0.500 0.000 0.000
7 Bi 0.500 0.500 0.500
8 Se 0.000 0.500 0.000

Results
Uncorrected formation energy, meV/atom: -893
Calculated volume, A^3/atom: 29.4
D(E_F), states/eV per atom: 0.462
Crystal system: monoclinic
Calculated total energy, eV/atom: -4.896

No. 19
Material: Dy3Tl3BiSe8
Method: DFT, PBE-GGA
State: relaxed

a = 9.017 Å, b = 9.017 Å, c = 9.017 Å
α = 55.45°, β = 55.45°, γ = 55.45°
Positions (direct):
1 Dy 0.000 0.500 0.500
2 Dy 0.500 0.000 0.500
3 Dy 0.500 0.500 0.000
4 Tl 0.000 0.000 0.500
5 Tl 0.000 0.500 0.000
6 Tl 0.500 0.000 0.000
7 Bi 0.000 0.000 0.000
8 Se 0.241 0.241 0.728
9 Se 0.241 0.728 0.241
10 Se 0.264 0.264 0.264
11 Se 0.272 0.759 0.759
12 Se 0.728 0.241 0.241
13 Se 0.736 0.736 0.736
14 Se 0.759 0.272 0.759
15 Se 0.759 0.759 0.272

Results
Uncorrected formation energy, meV/atom: -1140
Calculated volume, A^3/atom: 30.9
D(E_F), states/eV per atom: 0.491
Crystal system: trigonal
Calculated total energy, eV/atom: -4.651